No. 1
VASP calculation (PBE) on a relaxed structure of La2AgBr.

```
La2AgBr
1.0
4.370 0.000 0.000
0.000 4.370 0.000
0.000 0.000 6.345
Br La Ag
1 2 1
direct
0.500 0.500 0.875 Br
0.000 0.000 0.875 La
0.500 0.500 0.375 La
0.000 0.000 0.375 Ag
```

ρ = 6.38 g/cm3
Crystal system = tetragonal
Polymorph energy (0 for the lowest one) = 0.000 eV per atom

No. 2
VASP calculation (PBE) on a relaxed structure of KGaI3.

```
KGaI3
1.0
6.536 0.000 0.000
0.000 6.536 0.000
0.000 0.000 6.536
I K Ga
3 1 1
direct
0.000 0.000 0.500 I
0.000 0.500 0.000 I
0.500 0.000 0.000 I
0.000 0.000 0.000 K
0.500 0.500 0.500 Ga
```

ρ = 2.91 g/cm3
Crystal system = cubic
Polymorph energy (0 for the lowest one) = 0.678 eV per atom

No. 3
VASP calculation (PBE) on a relaxed structure of TcTeAsI2.

```
TcTeAsI2
1.0
5.426 0.000 0.000
0.000 5.426 0.000
0.000 0.000 5.212
I Te Tc As
2 1 1 1
direct
0.500 0.000 0.000 I
0.000 0.500 0.000 I
0.000 0.000 0.500 Te
0.000 0.000 0.000 Tc
0.500 0.500 0.500 As
```

ρ = 6.00 g/cm3
Crystal system = tetragonal
Polymorph energy (0 for the lowest one) = 0.000 eV per atom

No. 4
VASP calculation (PBE) on a relaxed structure of Li9PrCd2.

```
Li9PrCd2
1.0
5.670 0.000 0.000
2.835 4.910 0.000
2.835 1.637 8.679
Li Pr Cd
9 1 2
direct
0.599 0.599 0.728 Li
0.338 0.338 0.987 Li
0.662 0.662 0.013 Li
0.401 0.401 0.272 Li
0.599 0.074 0.728 Li
0.500 0.500 0.500 Li
0.074 0.599 0.728 Li
0.401 0.926 0.272 Li
0.926 0.401 0.272 Li
0.000 0.000 0.000 Pr
0.865 0.865 0.406 Cd
0.135 0.135 0.594 Cd
```

ρ = 2.94 g/cm3
Crystal system = trigonal
Energy of formation = -18 meV per atom

Question: Among the records above, which one has the lowest ρ?
Answer: KGaI3

Question: Which value of ρ does entry 1 give?
Answer: 6.38 g/cm3